1.
## LaLuSe2 (PBE)

Data for a relaxed structure of LaLuSe2.

The calculation puts the energy at -71.04 eV for the cell shown. As for the magnetic moment: 0.0 μB/f.u. As for the crystal system: trigonal.

The structure belongs to space group R-3m (No. 166, hexagonal axes); the cell edges are 4.0654, 4.0654 and 21.1657 Å and the angles 90.00°, 90.00° and 120.00°. Symmetry generates all atoms from La at (0.0000, 0.0000, 0.0000), Lu at (0.0000, 0.0000, 0.5000) and Se at (0.0000, 0.0000, 0.2405).

2.
## LaLuZnSi (PBE)

Data for a relaxed structure of LaLuZnSi.

The calculation puts the energy at -71.54 eV for the cell shown. As for the magnetic moment: 0.0 μB/f.u. As for the crystal system: cubic.

The structure belongs to space group F-43m (No. 216); the cell edges are 7.1624, 7.1624 and 7.1624 Å and the angles 90.00°, 90.00° and 90.00°. Symmetry generates all atoms from La at (0.0000, 0.0000, 0.0000), Lu at (0.0000, 0.0000, 0.5000), Zn at (0.2500, 0.2500, 0.7500) and Si at (0.2500, 0.2500, 0.2500).